Below is a relaxed Be4PtCl crystal, with properties calculated at the PBE-GGA level.

Geometry as CIF:
```
data_Be4PtCl
_chemical_formula_sum 'Be4 Pt1 Cl1'
_symmetry_space_group_name_H-M 'P 1'
_symmetry_Int_Tables_number 1
_cell_length_a 4.5828
_cell_length_b 4.5828
_cell_length_c 4.5828
_cell_angle_alpha 60.00
_cell_angle_beta 60.00
_cell_angle_gamma 60.00
loop_
_symmetry_equiv_pos_as_xyz
'x,y,z'
loop_
_atom_site_label
_atom_site_type_symbol
_atom_site_fract_x
_atom_site_fract_y
_atom_site_fract_z
Be1 Be 0.3733 0.8801 0.3733
Be2 Be 0.3733 0.3733 0.8801
Be3 Be 0.3733 0.3733 0.3733
Be4 Be 0.8801 0.3733 0.3733
Cl1 Cl 0.7500 0.7500 0.7500
Pt1 Pt 0.0000 0.0000 0.0000
```

Output
- energy (eV/atom) = -3.500
- ρ (g/cm3) = 6.5
- total magnetic moment (Bohr magnetons per cell) = 0.00
- formation energy without anion corrections (eV/atom) = 0.298
- crystal system = cubic

=====

Below is a relaxed NdCd3Hg2 crystal, with properties calculated at the PBE-GGA level.

Geometry as CIF:
```
data_NdCd3Hg2
_chemical_formula_sum 'Nd2 Cd6 Hg4'
_symmetry_space_group_name_H-M 'P 1'
_symmetry_Int_Tables_number 1
_cell_length_a 4.7306
_cell_length_b 9.5922
_cell_length_c 7.6166
_cell_angle_alpha 117.79
_cell_angle_beta 90.00
_cell_angle_gamma 104.28
loop_
_symmetry_equiv_pos_as_xyz
'x,y,z'
loop_
_atom_site_label
_atom_site_type_symbol
_atom_site_fract_x
_atom_site_fract_y
_atom_site_fract_z
Cd1 Cd 0.9272 0.8544 0.5449
Cd2 Cd 0.0728 0.1456 0.4551
Cd3 Cd 0.6971 0.3941 0.4647
Cd4 Cd 0.3732 0.7464 0.2564
Cd5 Cd 0.3029 0.6059 0.5353
Cd6 Cd 0.6268 0.2536 0.7436
Hg1 Hg 0.4822 0.9645 0.7935
Hg2 Hg 0.2406 0.4811 0.8220
Hg3 Hg 0.5178 0.0355 0.2065
Hg4 Hg 0.7594 0.5189 0.1780
Nd1 Nd 0.1185 0.2371 0.0507
Nd2 Nd 0.8815 0.7629 0.9493
```

Output
- energy (eV/atom) = -1.588
- ρ (g/cm3) = 10.0
- energy of formation (eV/atom) = -0.235
- total magnetic moment (Bohr magnetons per cell) = 0.00
- crystal system = monoclinic

=====

Below is a relaxed CsRb3 crystal, with properties calculated at the PBE-GGA level.

Geometry as CIF:
```
data_CsRb3
_chemical_formula_sum 'Cs1 Rb3'
_symmetry_space_group_name_H-M 'P 1'
_symmetry_Int_Tables_number 1
_cell_length_a 8.1162
_cell_length_b 8.1162
_cell_length_c 8.1162
_cell_angle_alpha 60.00
_cell_angle_beta 60.00
_cell_angle_gamma 60.00
loop_
_symmetry_equiv_pos_as_xyz
'x,y,z'
loop_
_atom_site_label
_atom_site_type_symbol
_atom_site_fract_x
_atom_site_fract_y
_atom_site_fract_z
Cs1 Cs 0.0000 0.0000 0.0000
Rb1 Rb 0.7500 0.7500 0.7500
Rb2 Rb 0.5000 0.5000 0.5000
Rb3 Rb 0.2500 0.2500 0.2500
```

Output
- energy (eV/atom) = -0.933
- ρ (g/cm3) = 1.7
- energy of formation (eV/atom) = 0.006
- total magnetic moment (Bohr magnetons per cell) = 0.00
- crystal system = cubic

=====

Below is a relaxed CaYTl crystal, with properties calculated at the PBE-GGA level.

Geometry as CIF:
```
data_CaYTl
_chemical_formula_sum 'Ca2 Y2 Tl2'
_symmetry_space_group_name_H-M 'P 1'
_symmetry_Int_Tables_number 1
_cell_length_a 5.2698
_cell_length_b 5.2698
_cell_length_c 9.1863
_cell_angle_alpha 73.33
_cell_angle_beta 73.33
_cell_angle_gamma 60.00
loop_
_symmetry_equiv_pos_as_xyz
'x,y,z'
loop_
_atom_site_label
_atom_site_type_symbol
_atom_site_fract_x
_atom_site_fract_y
_atom_site_fract_z
Tl1 Tl 0.2546 0.2546 0.2362
Tl2 Tl 0.7454 0.7454 0.7638
Y1 Y 0.3753 0.3753 0.8742
Y2 Y 0.6247 0.6247 0.1258
Ca1 Ca 0.1260 0.1260 0.6221
Ca2 Ca 0.8740 0.8740 0.3779
```

Output
- energy (eV/atom) = -3.791
- ρ (g/cm3) = 5.3
- energy of formation (eV/atom) = -0.181
- total magnetic moment (Bohr magnetons per cell) = 0.00
- energy above the lowest structure with this stoichiometry (eV/atom) = 0.168
- crystal system = trigonal

=====

Below is a relaxed MgMnBe2 crystal, with properties calculated at the PBE-GGA level.

Geometry as CIF:
```
data_MgMnBe2
_chemical_formula_sum 'Mg1 Mn1 Be2'
_symmetry_space_group_name_H-M 'P 1'
_symmetry_Int_Tables_number 1
_cell_length_a 3.6965
_cell_length_b 2.7436
_cell_length_c 4.9313
_cell_angle_alpha 73.80
_cell_angle_beta 90.00
_cell_angle_gamma 90.00
loop_
_symmetry_equiv_pos_as_xyz
'x,y,z'
loop_
_atom_site_label
_atom_site_type_symbol
_atom_site_fract_x
_atom_site_fract_y
_atom_site_fract_z
Be1 Be 0.0000 0.1942 0.9874
Be2 Be 0.5000 0.0727 0.2292
Mn1 Mn 0.5000 0.7787 0.8185
Mg1 Mg 0.0000 0.4544 0.4650
```

Output
- energy (eV/atom) = -4.363
- ρ (g/cm3) = 3.4
- energy of formation (eV/atom) = 0.191
- total magnetic moment (Bohr magnetons per cell) = 2.37
- crystal system = orthorhombic

=====

Below is a relaxed Ce2DyIn3 crystal, with properties calculated at the PBE-GGA level.

Geometry as CIF:
```
data_Ce2DyIn3
_chemical_formula_sum 'Ce2 Dy1 In3'
_symmetry_space_group_name_H-M 'P 1'
_symmetry_Int_Tables_number 1
_cell_length_a 3.4232
_cell_length_b 3.4232
_cell_length_c 13.8603
_cell_angle_alpha 90.00
_cell_angle_beta 90.00
_cell_angle_gamma 90.00
loop_
_symmetry_equiv_pos_as_xyz
'x,y,z'
loop_
_atom_site_label
_atom_site_type_symbol
_atom_site_fract_x
_atom_site_fract_y
_atom_site_fract_z
In1 In 0.0000 0.0000 0.3391
In2 In 0.0000 0.0000 0.6609
In3 In 0.0000 0.0000 0.0000
Ce1 Ce 0.5000 0.5000 0.8300
Ce2 Ce 0.5000 0.5000 0.1700
Dy1 Dy 0.5000 0.5000 0.5000
```

Output
- energy (eV/atom) = -4.510
- ρ (g/cm3) = 8.0
- energy of formation (eV/atom) = -0.396
- total magnetic moment (Bohr magnetons per cell) = 2.41
- crystal system = tetragonal

=====

Below is a relaxed Ca2ErHfAs4 crystal, with properties calculated at the PBE-GGA level.

Geometry as CIF:
```
data_Ca2ErHfAs4
_chemical_formula_sum 'Ca2 Er1 Hf1 As4'
_symmetry_space_group_name_H-M 'P 1'
_symmetry_Int_Tables_number 1
_cell_length_a 4.0276
_cell_length_b 7.0144
_cell_length_c 7.2407
_cell_angle_alpha 108.63
_cell_angle_beta 90.00
_cell_angle_gamma 90.00
loop_
_symmetry_equiv_pos_as_xyz
'x,y,z'
loop_
_atom_site_label
_atom_site_type_symbol
_atom_site_fract_x
_atom_site_fract_y
_atom_site_fract_z
Ca1 Ca 0.5000 0.0000 0.5000
Ca2 Ca 0.0000 0.5000 0.5000
As1 As 0.5000 0.7689 0.7747
As2 As 0.0000 0.2447 0.7692
As3 As 0.0000 0.7553 0.2308
As4 As 0.5000 0.2311 0.2253
Hf1 Hf 0.0000 0.0000 0.0000
Er1 Er 0.5000 0.5000 0.0000
```

Output
- energy (eV/atom) = -5.821
- ρ (g/cm3) = 6.2
- energy of formation (eV/atom) = -1.182
- total magnetic moment (Bohr magnetons per cell) = 0.00
- crystal system = monoclinic

=====

Below is a relaxed UCuNi6 crystal, with properties calculated at the PBE-GGA level.

Geometry as CIF:
```
data_UCuNi6
_chemical_formula_sum 'U1 Cu1 Ni6'
_symmetry_space_group_name_H-M 'P 1'
_symmetry_Int_Tables_number 1
_cell_length_a 4.2242
_cell_length_b 5.1994
_cell_length_c 5.1994
_cell_angle_alpha 120.01
_cell_angle_beta 90.00
_cell_angle_gamma 90.00
loop_
_symmetry_equiv_pos_as_xyz
'x,y,z'
loop_
_atom_site_label
_atom_site_type_symbol
_atom_site_fract_x
_atom_site_fract_y
_atom_site_fract_z
Ni1 Ni 0.0000 0.0709 0.4106
Ni2 Ni 0.5000 0.4184 0.0842
Ni3 Ni 0.5000 0.9157 0.0843
Ni4 Ni 0.0000 0.5895 0.4105
Ni5 Ni 0.5000 0.9158 0.5816
Ni6 Ni 0.0000 0.5894 0.9291
U1 U 0.5000 0.4167 0.5833
Cu1 Cu 0.0000 0.0832 0.9168
```

Output
- energy (eV/atom) = -6.392
- ρ (g/cm3) = 11.0
- energy of formation (eV/atom) = -0.133
- total magnetic moment (Bohr magnetons per cell) = 0.00
- crystal system = hexagonal